Record 1
A plane-wave DFT calculation with GGA-PBE was carried out for YScTl2Ir after structural relaxation.

Cell: 5.586 5.224 5.586 Å, 90.00 90.00 90.00°
Each line ends with the local moment (μB).
Fractional positions:
Ir 0.500 0.500 0.500  1.20
Y 0.000 0.000 0.000  0.04
Tl 0.500 0.000 0.000  -0.02
Tl 0.000 0.000 0.500  -0.02
Sc 0.000 0.500 0.000  0.13

Calculated values
The calculation puts the mass density at 7.49 g cm⁻³. The volume is 163 Å³/cell. Its formation energy is 1.63 eV per atom.

Record 2
A plane-wave DFT calculation with GGA-PBE was carried out for CeSmGaHg after structural relaxation.

Cell: 5.299 5.299 5.299 Å, 60.00 60.00 60.00°
Each line ends with the local moment (μB).
Fractional positions:
Ce 0.500 0.500 0.500  0.88
Ga 0.750 0.750 0.750  -0.01
Hg 0.250 0.250 0.250  0.04
Sm 0.000 0.000 0.000  0.19

Calculated values
The calculation puts the mass density at 8.85 g cm⁻³. Its polymorph energy (0 for the lowest one) is 37 meV per atom. The volume is 105 Å³/cell. Its formation energy is -0.42 eV per atom.

Record 3
A plane-wave DFT calculation with GGA-PBE was carried out for AlTlBiB2 after structural relaxation.

Cell: 4.798 5.779 4.798 Å, 90.00 90.00 90.00°
Fractional positions:
Tl 0.500 0.500 0.500
Bi 0.000 0.000 0.000
B 0.000 0.000 0.500
B 0.500 0.000 0.000
Al 0.000 0.500 0.000

Calculated values
The calculation puts the mass density at 5.77 g cm⁻³. The volume is 133 Å³/cell. Its formation energy is 1.80 eV per atom.

Record 4
A plane-wave DFT calculation with GGA-PBE was carried out for NdHo6Tm4 after structural relaxation.

Cell: 5.619 5.573 25.527 Å, 90.00 90.00 120.27°
Fractional positions:
Tm 0.163 0.325 0.042
Nd 0.177 0.353 0.750
Ho 0.155 0.311 0.180
Ho 0.489 0.979 0.250
Tm 0.163 0.325 0.458
Ho 0.823 0.645 0.399
Ho 0.500 0.000 0.000
Ho 0.823 0.645 0.101
Tm 0.513 0.026 0.621
Ho 0.511 0.021 0.750
Ho 0.845 0.689 0.820
Ho 0.177 0.355 0.601
Ho 0.500 0.000 0.500
Tm 0.487 0.974 0.379
Tm 0.837 0.675 0.542
Nd 0.823 0.647 0.250
Tm 0.513 0.026 0.879
Ho 0.845 0.689 0.680
Ho 0.155 0.311 0.320
Ho 0.177 0.355 0.899
Tm 0.487 0.974 0.121
Tm 0.837 0.675 0.958

Calculated values
The calculation puts the mass density at 8.71 g cm⁻³. Its polymorph energy (0 for the lowest one) is 0 meV per atom. The volume is 690 Å³/cell. Its formation energy is 0.12 eV per atom.

Record 5
A plane-wave DFT calculation with GGA-PBE was carried out for Ba7As2O2 after structural relaxation.

Cell: 9.010 8.211 9.010 Å, 90.04 55.89 89.96°
Each line ends with the local moment (μB).
Fractional positions:
O 0.698 0.999 0.302  0.01
Ba 0.000 0.746 0.500  0.06
As 0.333 0.500 0.333  0.01
O 0.302 0.001 0.698  0.01
Ba 0.000 0.000 0.000  0.01
Ba 0.000 0.254 0.500  0.06
Ba 0.500 0.254 0.000  0.06
As 0.667 0.500 0.667  0.01
Ba 0.500 0.775 0.500  0.01
Ba 0.500 0.225 0.500  0.01
Ba 0.500 0.746 0.000  0.06

Calculated values
The calculation puts the mass density at 3.44 g cm⁻³. The volume is 552 Å³/cell. Its uncorrected formation energy is -1.14 eV per atom.

Record 6
A plane-wave DFT calculation with GGA-PBE was carried out for Ge3PbSe4 after structural relaxation.

Cell: 3.993 4.533 11.376 Å, 89.78 90.00 90.00°
Fractional positions:
Se 0.000 0.998 0.653
Ge 0.500 0.369 0.636
Se 0.500 0.488 0.854
Ge 0.500 0.130 0.119
Se 0.500 0.050 0.342
Ge 0.000 0.859 0.882
Pb 0.000 0.598 0.385
Se 0.000 0.508 0.130

Calculated values
The calculation puts the mass density at 5.98 g cm⁻³. The volume is 206 Å³/cell. Its uncorrected formation energy is -0.29 eV per atom.

Copy entry 2 word for word.
A plane-wave DFT calculation with GGA-PBE was carried out for CeSmGaHg after structural relaxation.

Cell: 5.299 5.299 5.299 Å, 60.00 60.00 60.00°
Each line ends with the local moment (μB).
Fractional positions:
Ce 0.500 0.500 0.500  0.88
Ga 0.750 0.750 0.750  -0.01
Hg 0.250 0.250 0.250  0.04
Sm 0.000 0.000 0.000  0.19

Calculated values
The calculation puts the mass density at 8.85 g cm⁻³. Its polymorph energy (0 for the lowest one) is 37 meV per atom. The volume is 105 Å³/cell. Its formation energy is -0.42 eV per atom.